Density functional theory data (PBE) for a relaxed structure of Bi2RuPb.

mass density: 8.38 g/cm3
crystal system: tetragonal
M_tot: 0.00 μB per cell
formation energy: 497 meV/atom
space group: I-42d
E_tot: -0.1723 Ha/atom

a = 8.042 Å, b = 8.042 Å, c = 8.042 Å
α = 131.26°, β = 131.26°, γ = 71.40°
Sites, in units of the cell vectors:
Bi  0.058  0.625  0.933
Bi  0.375  0.308  0.433
Bi  0.692  0.125  0.067
Bi  0.875  0.942  0.567
Ru  0.000  0.000  0.000
Ru  0.750  0.250  0.500
Pb  0.250  0.750  0.500
Pb  0.500  0.500  0.000